Entry from the Alexandria database: a relaxed CeTiTlO4 crystal (GGA-PBE).

The calculation puts the density at 5.4 g/cm3. The formation energy from raw total energies is -18.13 eV per formula unit.

The space group is P2_1/m (No. 11) and the conventional cell measures 6.2677, 6.1146 and 7.6389 Å, with angles of 90.00, 105.64 and 90.00 degrees. The asymmetric unit holds Ce at (0.1956, 0.2500, 0.0598), Ti at (0.2772, 0.7500, 0.8470), Tl at (0.3241, 0.2500, 0.5979), O at (0.0786, 0.5224, 0.8408), O at (0.4689, 0.7500, 0.7029) and O at (0.4796, 0.7500, 0.0650).

***

Entry from the Alexandria database: a relaxed CeUTi2O8 crystal (GGA-PBE).

The calculation puts the density at 6.6 g/cm3. The formation energy from raw total energies is -38.09 eV per formula unit.

The space group is I-4 (No. 82) and the conventional cell measures 5.1954, 5.1954 and 11.1655 Å, with angles of 90.00, 90.00 and 90.00 degrees. The asymmetric unit holds Ce at (0.0000, 0.0000, 0.0000), U at (0.0000, 0.5000, 0.7500), Ti at (0.0000, 0.0000, 0.5000), Ti at (0.0000, 0.5000, 0.2500), O at (0.1644, 0.2564, 0.5874) and O at (0.1766, 0.7589, 0.1691).

***

Entry from the Alexandria database: a relaxed CeZrTi2O8 crystal (GGA-PBE).

The calculation puts the density at 5.3 g/cm3. The formation energy from raw total energies is -38.06 eV per formula unit.

The space group is I-4 (No. 82) and the conventional cell measures 5.1027, 5.1027 and 10.8939 Å, with angles of 90.00, 90.00 and 90.00 degrees. The asymmetric unit holds Ce at (0.0000, 0.0000, 0.0000), Zr at (0.0000, 0.5000, 0.7500), Ti at (0.0000, 0.0000, 0.5000), Ti at (0.0000, 0.5000, 0.2500), O at (0.1676, 0.2620, 0.5890) and O at (0.1863, 0.7613, 0.1690).

***

Entry from the Alexandria database: a relaxed Ce2TlO2 crystal (GGA-PBE).

The calculation puts the density at 8.0 g/cm3. The formation energy from raw total energies is -11.90 eV per formula unit.

The space group is I4/mmm (No. 139) and the conventional cell measures 3.9959, 3.9959 and 13.4192 Å, with angles of 90.00, 90.00 and 90.00 degrees. The asymmetric unit holds Ce at (0.0000, 0.0000, 0.1619), Tl at (0.0000, 0.0000, 0.5000) and O at (0.0000, 0.5000, 0.2500).

***

Entry from the Alexandria database: a relaxed Ce2TlO crystal (GGA-PBE).

The calculation puts the density at 9.0 g/cm3. The formation energy from raw total energies is -5.79 eV per formula unit.

The space group is R-3m (No. 166, hexagonal axes) and the conventional cell measures 3.6529, 3.6529 and 23.9384 Å, with angles of 90.00, 90.00 and 120.00 degrees. The asymmetric unit holds Ce at (0.0000, 0.0000, 0.2229), Tl at (0.0000, 0.0000, 0.0000) and O at (0.0000, 0.0000, 0.5000).

***

Entry from the Alexandria database: a relaxed Ce2TlO crystal (GGA-PBE).

The calculation puts the density at 9.0 g/cm3. The formation energy from raw total energies is -5.71 eV per formula unit.

The space group is R3m (No. 160, hexagonal axes) and the conventional cell measures 3.6244, 3.6244 and 24.3581 Å, with angles of 90.00, 90.00 and 120.00 degrees. The asymmetric unit holds Ce at (0.0000, 0.0000, 0.0000), Ce at (0.0000, 0.0000, 0.2217), Tl at (0.0000, 0.0000, 0.7779) and O at (0.0000, 0.0000, 0.6112).

***

Entry from the Alexandria database: a relaxed CeTlO crystal (GGA-PBE).

The calculation puts the density at 8.1 g/cm3. The formation energy from raw total energies is -5.59 eV per formula unit.

The space group is P-3m1 (No. 164) and the conventional cell measures 3.8809, 3.8809 and 11.3781 Å, with angles of 90.00, 90.00 and 120.00 degrees. The asymmetric unit holds Ce at (0.3333, 0.6667, 0.3680), Tl at (0.0000, 0.0000, 0.1291) and O at (0.3333, 0.6667, 0.5802).

***

Entry from the Alexandria database: a relaxed Ce2TlO crystal (GGA-PBE).

The calculation puts the density at 8.7 g/cm3. The formation energy from raw total energies is -5.64 eV per formula unit.

The space group is Fmm2 (No. 42) and the conventional cell measures 5.9240, 22.0573 and 5.8346 Å, with angles of 90.00, 90.00 and 90.00 degrees. The asymmetric unit holds Ce at (0.0000, 0.1994, 0.0000), Ce at (0.2279, 0.0000, 0.2391), Tl at (0.0000, 0.1158, 0.5011) and O at (0.2500, 0.2500, 0.2506).

***

Entry from the Alexandria database: a relaxed CeTlO crystal (GGA-PBE).

The calculation puts the density at 8.2 g/cm3. The formation energy from raw total energies is -5.27 eV per formula unit.

The space group is P-6m2 (No. 187) and the conventional cell measures 3.8518, 3.8518 and 5.6619 Å, with angles of 90.00, 90.00 and 120.00 degrees. The asymmetric unit holds Ce at (0.0000, 0.0000, 0.0000), Tl at (0.3333, 0.6667, 0.5000) and O at (0.6667, 0.3333, 0.0000).

***

Entry from the Alexandria database: a relaxed CeTlO crystal (GGA-PBE).

The calculation puts the density at 8.5 g/cm3. The formation energy from raw total energies is -5.72 eV per formula unit.

The space group is R-3m (No. 166, hexagonal axes) and the conventional cell measures 3.9353, 3.9353 and 31.5926 Å, with angles of 90.00, 90.00 and 120.00 degrees. The asymmetric unit holds Ce at (0.0000, 0.0000, 0.1201), Tl at (0.0000, 0.0000, 0.3685) and O at (0.0000, 0.0000, 0.1962).

***

Entry from the Alexandria database: a relaxed Ce2TlO crystal (GGA-PBE).

The calculation puts the density at 10.1 g/cm3. The formation energy from raw total energies is -4.50 eV per formula unit.

The space group is P4/mmm (No. 123) and the conventional cell measures 3.1764, 3.1764 and 8.1844 Å, with angles of 90.00, 90.00 and 90.00 degrees. The asymmetric unit holds Ce at (0.0000, 0.0000, 0.1881), Tl at (0.5000, 0.5000, 0.5000) and O at (0.5000, 0.5000, 0.0000).

***

Entry from the Alexandria database: a relaxed CeUTlO6 crystal (GGA-PBE).

The calculation puts the density at 5.9 g/cm3. The formation energy from raw total energies is -22.42 eV per formula unit.

The space group is Imma (No. 74) and the conventional cell measures 7.9545, 8.1464 and 11.7254 Å, with angles of 90.00, 90.00 and 90.00 degrees. The asymmetric unit holds Ce at (0.2500, 0.2500, 0.2500), U at (0.0000, 0.0000, 0.0000), Tl at (0.0000, 0.2500, 0.5398), O at (0.0000, 0.2500, 0.3264), O at (0.0000, 0.2500, 0.9444) and O at (0.1820, 0.0628, 0.1126).

***

> Among the records above, which one has the highest formation energy from raw total energies?

number 11